Density functional theory data (PBE-GGA) for a geometry-optimized GePbN2 structure.

Properties
Density of states at the Fermi level = 8.62 states/eV per cell
Energy = -4.767 eV per atom
Total magnetic moment = 0.0 Bohr magnetons per cell
Distance to the lowest polymorph of the same formula = 1220.1 meV per atom
Energy relative to the elements, uncorrected = 1.48 eV/atom

a b c (Å): 6.0516 6.0516 6.0516
angles (deg): 90.00 90.00 90.00
Space group Fm-3m (No. 225)
Asymmetric unit:
1 Ge 0.0000 0.0000 0.0000
2 Pb 0.0000 0.0000 0.5000
3 N 0.2500 0.2500 0.2500